Entry 1:
A plane-wave DFT calculation with GGA-PBE was carried out for a relaxed YHoTh crystal.

energy of formation from the pure elements: 0.807 eV/atom

Lattice parameters (Å, degrees): 7.661 7.661 7.661 90.00 90.00 90.00
Space group F-43m (No. 216)
Unique sites:
1 Y 0.000 0.000 0.000 x4
2 Ho 0.250 0.250 0.750 x4
3 Th 0.000 0.000 0.500 x4

Entry 2:
A plane-wave DFT calculation with GGA-PBE was carried out for a relaxed HoThZr crystal.

energy of formation from the pure elements: 0.717 eV/atom

Lattice parameters (Å, degrees): 7.330 7.330 7.330 90.00 90.00 90.00
Space group F-43m (No. 216)
Unique sites:
1 Ho 0.000 0.000 0.000 x4
2 Th 0.000 0.000 0.500 x4
3 Zr 0.250 0.250 0.250 x4

Entry 3:
A plane-wave DFT calculation with GGA-PBE was carried out for a relaxed HoTl crystal.

DFT total energy: -3.508 eV/atom

Lattice parameters (Å, degrees): 6.212 6.212 6.212 90.00 90.00 90.00
Space group Fm-3m (No. 225)
Unique sites:
1 Ho 0.000 0.000 0.000 x4
2 Tl 0.000 0.000 0.500 x4

Entry 4:
A plane-wave DFT calculation with GGA-PBE was carried out for a relaxed HoTl crystal.

DFT total energy: -3.657 eV/atom

Lattice parameters (Å, degrees): 3.5941 3.5941 5.0489 90.00 90.00 120.00
Space group P-6m2 (No. 187)
Unique sites:
1 Ho 0.0000 0.0000 0.0000 x1
2 Tl 0.6667 0.3333 0.5000 x1

Entry 5:
A plane-wave DFT calculation with GGA-PBE was carried out for a relaxed HoTl2 crystal.

DFT total energy: -1.913 eV/atom

Lattice parameters (Å, degrees): 13.704 13.704 13.704 90.00 90.00 90.00
Space group Fd-3m (No. 227, origin choice 2)
Unique sites:
1 Ho 0.125 0.125 0.125 x8
2 Tl 0.000 0.000 0.000 x16

Entry 6:
A plane-wave DFT calculation with GGA-PBE was carried out for a relaxed HoTl2 crystal.

DFT total energy: -3.101 eV/atom

Lattice parameters (Å, degrees): 8.668 8.668 8.668 90.00 90.00 90.00
Space group Fd-3m (No. 227, origin choice 2)
Unique sites:
1 Ho 0.125 0.125 0.125 x8
2 Tl 0.000 0.000 0.500 x16

Entry 7:
A plane-wave DFT calculation with GGA-PBE was carried out for a relaxed HoTl crystal.

DFT total energy: -3.792 eV/atom

Lattice parameters (Å, degrees): 3.758 3.758 3.758 90.00 90.00 90.00
Space group Pm-3m (No. 221)
Unique sites:
1 Ho 0.000 0.000 0.000 x1
2 Tl 0.500 0.500 0.500 x1

Entry 8:
A plane-wave DFT calculation with GGA-PBE was carried out for a relaxed HoTl crystal.

DFT total energy: -2.820 eV/atom

Lattice parameters (Å, degrees): 6.860 6.860 6.860 90.00 90.00 90.00
Space group F-43m (No. 216)
Unique sites:
1 Ho 0.000 0.000 0.000 x4
2 Tl 0.250 0.250 0.750 x4

Entry 9:
A plane-wave DFT calculation with GGA-PBE was carried out for a relaxed Ho2TmTl3 crystal.

DFT total energy: -3.762 eV/atom

Lattice parameters (Å, degrees): 3.613 3.613 12.195 90.00 90.00 90.00
Space group P4/mmm (No. 123)
Unique sites:
1 Ho 0.000 0.000 0.167 x2
2 Tm 0.000 0.000 0.500 x1
3 Tl 0.500 0.500 0.000 x1
4 Tl 0.500 0.500 0.335 x2

Entry 10:
A plane-wave DFT calculation with GGA-PBE was carried out for a relaxed HoTmTl crystal.

DFT total energy: -3.833 eV/atom

Lattice parameters (Å, degrees): 7.232 7.232 7.232 90.00 90.00 90.00
Space group F-43m (No. 216)
Unique sites:
1 Ho 0.000 0.000 0.000 x4
2 Tm 0.000 0.000 0.500 x4
3 Tl 0.250 0.250 0.250 x4

Entry 11:
A plane-wave DFT calculation with GGA-PBE was carried out for a relaxed YHoTl4 crystal.

DFT total energy: -3.686 eV/atom

Lattice parameters (Å, degrees): 4.670 4.688 14.581 90.00 90.00 90.00
Space group Amm2 (No. 38)
Unique sites:
1 Y 0.000 0.000 0.000 x2
2 Ho 0.000 0.000 0.310 x2
3 Tl 0.000 0.000 0.655 x2
4 Tl 0.500 0.000 0.155 x2
5 Tl 0.500 0.000 0.479 x2
6 Tl 0.500 0.000 0.831 x2

Entry 12:
A plane-wave DFT calculation with GGA-PBE was carried out for a relaxed YHo2Tl3 crystal.

DFT total energy: -4.121 eV/atom

Lattice parameters (Å, degrees): 3.646 3.646 12.118 90.00 90.00 90.00
Space group P4/mmm (No. 123)
Unique sites:
1 Y 0.000 0.000 0.000 x1
2 Ho 0.000 0.000 0.334 x2
3 Tl 0.500 0.500 0.168 x2
4 Tl 0.500 0.500 0.500 x1